VASP calculation (PBE-GGA) on Ho3PdO6 after structural relaxation.

a b c (Å): 7.0018 7.0018 5.4728
angles (deg): 90.00 90.00 101.81
Closest atoms and distances in Å follow each position.
Atoms (fractional coordinates):
Ho 0.1017 0.8983 0.5000  7 O 2.26-2.41
Ho 0.1780 0.4100 0.5559  6 O 2.20-2.38
Ho 0.4100 0.1780 0.0559  6 O 2.20-2.38
Ho 0.5900 0.8220 0.5559  6 O 2.20-2.38
Ho 0.8220 0.5900 0.0559  6 O 2.20-2.38
Ho 0.8983 0.1017 0.0000  7 O 2.26-2.41
Pd 0.3610 0.6390 0.0587  5 O 1.99-2.16
Pd 0.6390 0.3610 0.5587  5 O 1.99-2.16
O 0.0939 0.6065 0.2649  1 Pd 2.16, 3 Ho 2.20-2.41
O 0.1431 0.1764 0.2795  4 Ho 2.20-2.28
O 0.1764 0.1431 0.7795  4 Ho 2.20-2.28
O 0.2764 0.7236 0.7369  1 Pd 1.99
O 0.3935 0.9061 0.2649  1 Pd 2.16, 3 Ho 2.20-2.41
O 0.4787 0.5213 0.3588  2 Pd 2.06-2.08
O 0.5213 0.4787 0.8588  2 Pd 2.06-2.08
O 0.6065 0.0939 0.7649  1 Pd 2.16, 3 Ho 2.20-2.41
O 0.7236 0.2764 0.2369  1 Pd 1.99
O 0.8236 0.8569 0.2795  4 Ho 2.20-2.28
O 0.8569 0.8236 0.7795  4 Ho 2.20-2.28
O 0.9061 0.3935 0.7649  1 Pd 2.16, 3 Ho 2.20-2.41

Calculated values
- Energy above the most stable polymorph in this dataset: 0.0422 eV per atom
- Electronic total energy: -7.57 eV/atom



VASP calculation (PBE-GGA) on HoPd2O4 after structural relaxation.

a b c (Å): 6.4304 6.4304 5.7249
angles (deg): 116.34 116.34 102.05
Closest atoms and distances in Å follow each position.
Atoms (fractional coordinates):
Ho 0.1250 0.8750 0.7500  8 O 2.31-2.41
Ho 0.8750 0.1250 0.2500  8 O 2.31-2.41
Pd 0.0000 0.5000 0.0000  4 O 2.01-2.03
Pd 0.5000 0.0000 0.5000  4 O 2.01-2.03
Pd 0.5000 0.5000 0.0000  4 O 2.01-2.03
Pd 0.5000 0.5000 0.5000  4 O 2.01-2.03
O 0.1145 0.2573 0.7798  2 Pd 2.01-2.03
O 0.1663 0.5235 0.4090  2 Pd 2.01-2.03
O 0.2573 0.1145 0.2798  2 Pd 2.01-2.03
O 0.4765 0.8337 0.0910  2 Pd 2.01-2.03
O 0.5235 0.1663 0.9090  2 Pd 2.01-2.03
O 0.7427 0.8855 0.7202  2 Pd 2.01-2.03
O 0.8337 0.4765 0.5910  2 Pd 2.01-2.03
O 0.8855 0.7427 0.2202  2 Pd 2.01-2.03

Calculated values
- Energy above the most stable polymorph in this dataset: 0.0000 eV per atom
- Electronic total energy: -6.56 eV/atom



VASP calculation (PBE-GGA) on Ho2PdO4 after structural relaxation.

a b c (Å): 5.5360 5.5590 11.7643
angles (deg): 90.00 90.00 90.00
Closest atoms and distances in Å follow each position.
Atoms (fractional coordinates):
Ho 0.0085 0.0369 0.1592  6 O 2.20-2.37
Ho 0.0085 0.4631 0.6592  6 O 2.20-2.37
Ho 0.4915 0.5369 0.1592  6 O 2.20-2.37
Ho 0.4915 0.9631 0.6592  6 O 2.20-2.37
Ho 0.5085 0.0369 0.3408  6 O 2.20-2.37
Ho 0.5085 0.4631 0.8408  6 O 2.20-2.37
Ho 0.9915 0.5369 0.3408  6 O 2.20-2.37
Ho 0.9915 0.9631 0.8408  6 O 2.20-2.37
Pd 0.0000 0.0000 0.5000  4 O 2.04-2.05
Pd 0.0000 0.5000 0.0000  4 O 2.04-2.05
Pd 0.5000 0.0000 0.0000  4 O 2.04-2.05
Pd 0.5000 0.5000 0.5000  4 O 2.04-2.05
O 0.1767 0.6778 0.5102  2 Pd 2.04-2.05
O 0.1767 0.8222 0.0102  2 Pd 2.04-2.05
O 0.2414 0.2123 0.7564  4 Ho 2.20-2.27
O 0.2414 0.2877 0.2564  4 Ho 2.20-2.27
O 0.2586 0.7123 0.7564  4 Ho 2.20-2.27
O 0.2586 0.7877 0.2564  4 Ho 2.20-2.27
O 0.3233 0.1778 0.5102  2 Pd 2.04-2.05
O 0.3233 0.3222 0.0102  2 Pd 2.04-2.05
O 0.6767 0.6778 0.9898  2 Pd 2.04-2.05
O 0.6767 0.8222 0.4898  2 Pd 2.04-2.05
O 0.7414 0.2123 0.7436  4 Ho 2.20-2.27
O 0.7414 0.2877 0.2436  4 Ho 2.20-2.27
O 0.7586 0.7123 0.7436  4 Ho 2.20-2.27
O 0.7586 0.7877 0.2436  4 Ho 2.20-2.27
O 0.8233 0.1778 0.9898  2 Pd 2.04-2.05
O 0.8233 0.3222 0.4898  2 Pd 2.04-2.05

Calculated values
- Energy above the most stable polymorph in this dataset: 0.0014 eV per atom
- Electronic total energy: -7.56 eV/atom